A relaxed structure of Ac2GaPtRh. Source: Alexandria, functional PBE-GGA.

Properties
The value obtained for the formation energy is -0.912 eV per atom. The value obtained for the density of states at the Fermi level is 5.48 states/eV/cell. As for the uncorrected energy: -5.84 eV/atom.

abc: 4.409 4.409 13.968
angles: 90.00 90.00 90.00
Space group P4/nmm (No. 129, origin choice 2)
Asymmetric unit:
Ac (0.250, 0.250, 0.107)
Ac (0.250, 0.250, 0.670)
Ga (0.250, 0.250, 0.407)
Pt (0.250, 0.250, 0.889)
Rh (0.250, 0.750, 0.500)